# 1
HfCr2NiPd: optimized geometry, GGA-PBE.

Output
Energy (eV per cell): -34.06
Polymorph energy (0 for the lowest one) (eV/atom): 0.410
D(E_F) (states/eV/cell): 3.24
Space-group type: P4/mmm (123)

a = 4.7576 Å, b = 4.8898 Å, c = 4.7576 Å
α = 90.00°, β = 90.00°, γ = 90.00°
Fractional positions:
Ni 0.5000 0.5000 0.5000
Hf 0.0000 0.5000 0.0000
Pd 0.0000 0.0000 0.0000
Cr 0.0000 0.0000 0.5000
Cr 0.5000 0.0000 0.0000

# 2
Co3Mo: optimized geometry, GGA-PBE.

Output
Energy (eV per cell): -31.70
D(E_F) (states/eV/cell): 4.60
Space-group type: Imm2 (44)

a = 4.8645 Å, b = 4.8645 Å, c = 4.8645 Å
α = 148.82°, β = 125.92°, γ = 63.76°
Fractional positions:
Co 0.0021 0.0072 0.9949
Co 0.0867 0.7500 0.3367
Co 0.4878 0.4928 0.9949
Mo 0.5902 0.2500 0.3402

# 3
Pr2Dy2Ho: optimized geometry, GGA-PBE.

Output
Energy (eV per cell): -46.45
Polymorph energy (0 for the lowest one) (eV/atom): 0.000
D(E_F) (states/eV/cell): 17.07
Space-group type: C2/c (15)

a = 6.3603 Å, b = 8.5803 Å, c = 9.6844 Å
α = 43.45°, β = 70.83°, γ = 68.25°
Fractional positions:
Pr 0.7854 0.7542 0.8483
Pr 0.3879 0.7458 0.6517
Pr 0.2146 0.2458 0.1517
Pr 0.6121 0.2542 0.3483
Dy 0.8199 0.2418 0.9519
Dy 0.0135 0.2582 0.5481
Dy 0.1801 0.7582 0.0481
Dy 0.9865 0.7418 0.4519
Ho 0.5844 0.7500 0.2500
Ho 0.4156 0.2500 0.7500

# 4
LaCd2CoHg: optimized geometry, GGA-PBE.

Output
Energy (eV per cell): -11.84
Polymorph energy (0 for the lowest one) (eV/atom): 0.600
D(E_F) (states/eV/cell): 9.34
Space-group type: P4/mmm (123)

a = 5.2127 Å, b = 5.0621 Å, c = 5.2127 Å
α = 90.00°, β = 90.00°, γ = 90.00°
Fractional positions:
Cd 0.0000 0.0000 0.5000
Cd 0.5000 0.0000 0.0000
Co 0.0000 0.5000 0.0000
Hg 0.0000 0.0000 0.0000
La 0.5000 0.5000 0.5000

# 5
CePuNi2As2: optimized geometry, GGA-PBE.

Output
Energy (eV per cell): -46.47
D(E_F) (states/eV/cell): 13.34
Space-group type: P-3m1 (164)

a = 4.0983 Å, b = 4.0983 Å, c = 7.8561 Å
α = 90.00°, β = 90.00°, γ = 120.00°
Fractional positions:
Ce 0.0000 0.0000 0.0000
Pu 0.0000 0.0000 0.5000
Ni 0.6667 0.3333 0.2459
Ni 0.3333 0.6667 0.7541
As 0.6667 0.3333 0.7467
As 0.3333 0.6667 0.2533

# 6
Al2CuAsRu: optimized geometry, GGA-PBE.

Output
Energy (eV per cell): -22.50
D(E_F) (states/eV/cell): 5.32
Space-group type: P4/mmm (123)

a = 4.6169 Å, b = 4.7301 Å, c = 4.6169 Å
α = 90.00°, β = 90.00°, γ = 90.00°
Fractional positions:
Ru 0.0000 0.0000 0.0000
As 0.5000 0.5000 0.5000
Al 0.0000 0.0000 0.5000
Al 0.5000 0.0000 0.0000
Cu 0.0000 0.5000 0.0000

# 7
Cs2SeI: optimized geometry, GGA-PBE.

Output
Energy (eV per cell): -46.14
Polymorph energy (0 for the lowest one) (eV/atom): 0.000
Space-group type: C2/m (12)

a = 9.4450 Å, b = 12.9674 Å, c = 8.8128 Å
α = 133.22°, β = 90.00°, γ = 90.00°
Fractional positions:
Cs 0.7506 0.2500 0.2491
Cs 0.2506 0.2500 0.7509
Cs 0.2494 0.7500 0.7509
Cs 0.7494 0.7500 0.2491
Cs 0.7501 0.7502 0.7508
Cs 0.2501 0.7498 0.2492
Cs 0.2499 0.2498 0.2492
Cs 0.7499 0.2502 0.7508
Se 0.4998 0.4994 0.3609
Se 0.9998 0.0006 0.6391
Se 0.5002 0.5006 0.6391
Se 0.0002 0.9994 0.3609
I 0.5000 0.0015 0.2515
I 0.0000 0.4985 0.7485
I 0.5000 0.9985 0.7485
I 0.0000 0.5015 0.2515

# 8
ZrBi: optimized geometry, GGA-PBE.

Output
Energy (eV per cell): -24.50
D(E_F) (states/eV/cell): 4.16
Space-group type: P6_3/mmc (194)

a = 5.1126 Å, b = 5.1126 Å, c = 5.9086 Å
α = 90.00°, β = 90.00°, γ = 120.00°
Fractional positions:
Zr 0.3333 0.6667 0.2500
Zr 0.6667 0.3333 0.7500
Bi 0.3333 0.6667 0.7500
Bi 0.6667 0.3333 0.2500

# 9
As2RuSe: optimized geometry, GGA-PBE.

Output
Energy (eV per cell): -19.96
D(E_F) (states/eV/cell): 3.83
Space-group type: P4/mmm (123)

a = 4.6430 Å, b = 4.6430 Å, c = 3.1902 Å
α = 90.00°, β = 90.00°, γ = 90.00°
Fractional positions:
Ru 0.5000 0.0000 0.5000
As 0.0000 0.0000 0.0000
As 0.5000 0.5000 0.0000
Se 0.0000 0.5000 0.5000

# 10
Cs2Rb2Li: optimized geometry, GGA-PBE.

Output
Energy (eV per cell): -9.40
Polymorph energy (0 for the lowest one) (eV/atom): 0.041
D(E_F) (states/eV/cell): 8.47
Space-group type: P4/mbm (127)

a = 10.6355 Å, b = 10.6355 Å, c = 8.0225 Å
α = 90.00°, β = 90.00°, γ = 90.00°
Fractional positions:
Cs 0.8455 0.3455 0.0000
Cs 0.6545 0.8455 0.0000
Cs 0.1545 0.6545 0.0000
Cs 0.3455 0.1545 0.0000
Rb 0.6740 0.1740 0.5000
Rb 0.8260 0.6740 0.5000
Rb 0.3260 0.8260 0.5000
Rb 0.1740 0.3260 0.5000
Li 0.0000 0.0000 0.0000
Li 0.5000 0.5000 0.0000

# 11
Ag2AsF2: optimized geometry, GGA-PBE.

Output
Energy (eV per cell): -33.62
Polymorph energy (0 for the lowest one) (eV/atom): 0.003
D(E_F) (states/eV/cell): 5.37
Space-group type: P4/mbm (127)

a = 7.3363 Å, b = 7.3363 Å, c = 2.8009 Å
α = 90.00°, β = 90.00°, γ = 90.00°
Fractional positions:
As 0.0000 0.0000 0.0000
As 0.5000 0.5000 0.0000
Ag 0.1595 0.6595 0.5000
Ag 0.6595 0.8405 0.5000
Ag 0.8405 0.3405 0.5000
Ag 0.3405 0.1595 0.5000
F 0.3672 0.8672 0.0000
F 0.8672 0.6328 0.0000
F 0.6328 0.1328 0.0000
F 0.1328 0.3672 0.0000

# 12
PmAlSi2: optimized geometry, GGA-PBE.

Output
Energy (eV per cell): -20.37
Polymorph energy (0 for the lowest one) (eV/atom): 0.146
D(E_F) (states/eV/cell): 2.70
Space-group type: P4/mmm (123)

a = 4.0725 Å, b = 4.3527 Å, c = 4.3527 Å
α = 90.00°, β = 90.00°, γ = 90.00°
Fractional positions:
Si 0.0000 0.0000 0.5000
Si 0.0000 0.5000 0.0000
Al 0.5000 0.5000 0.5000
Pm 0.5000 0.0000 0.0000